[1]
Ba2PdF6 | GGA-PBEsol | optimized geometry

Results
- Formation energy from raw total energies: -2.995 eV per atom

Cell and atoms, written as POSCAR:
```
Ba2PdF6
1.0
6.183 0.000 0.000
0.000 6.189 0.000
0.000 -3.095 8.479
Ba F Pd
4 12 2
direct
0.500 0.340 0.680
0.000 0.160 0.320
0.500 0.660 0.320
0.000 0.840 0.680
0.842 0.260 0.835
0.250 0.506 0.500
0.342 0.240 0.165
0.750 0.994 0.500
0.750 0.494 0.500
0.158 0.575 0.835
0.842 0.425 0.165
0.250 0.006 0.500
0.342 0.075 0.835
0.158 0.740 0.165
0.658 0.760 0.835
0.658 0.925 0.165
0.500 0.000 0.000
0.000 0.500 0.000
```

***

[2]
BaPd3F | GGA-PBEsol | optimized geometry

Results
- Formation energy from raw total energies: -0.224 eV per atom

Cell and atoms, written as POSCAR:
```
BaPd3F
1.0
-4.464 -0.538 -0.781
0.895 -1.143 -4.327
0.315 -4.385 1.224
Pd Ba F
3 1 1
direct
0.000 0.000 0.500
0.500 0.000 0.000
0.000 0.500 0.000
0.500 0.500 0.500
0.000 0.000 0.000
```

***

[3]
BaPdSeF2 | GGA-PBEsol | optimized geometry

Results
- Formation energy from raw total energies: -1.110 eV per atom

Cell and atoms, written as POSCAR:
```
BaPdSeF2
1.0
4.634 0.000 0.000
0.000 4.634 0.000
0.000 0.000 6.721
F Pd Ba Se
2 1 1 1
direct
0.500 0.000 0.000
0.000 0.500 0.000
0.000 0.000 0.500
0.000 0.000 0.000
0.500 0.500 0.500
```

***

[4]
BaSrPdF6 | GGA-PBEsol | optimized geometry

Results
- Formation energy from raw total energies: -3.005 eV per atom

Cell and atoms, written as POSCAR:
```
BaSrPdF6
1.0
5.969 0.000 0.000
0.000 5.977 0.000
0.000 -2.988 8.404
F Pd Sr Ba
12 2 2 2
direct
0.839 0.420 0.161
0.836 0.249 0.825
0.161 0.741 0.161
0.339 0.241 0.161
0.249 0.015 0.515
0.251 0.515 0.515
0.751 0.500 0.515
0.661 0.920 0.161
0.749 0.000 0.515
0.336 0.076 0.825
0.664 0.749 0.825
0.164 0.576 0.825
0.000 0.496 0.992
0.500 0.996 0.992
0.000 0.840 0.680
0.500 0.340 0.680
0.000 0.164 0.327
0.500 0.664 0.327
```

***

[5]
Ba3PtF | GGA-PBEsol | optimized geometry

Results
- Formation energy from raw total energies: -0.756 eV per atom

Cell and atoms, written as POSCAR:
```
Ba3PtF
1.0
-3.472 -0.596 4.989
-2.746 -4.854 -2.491
4.208 -3.659 2.491
Pt Ba F
1 3 1
direct
0.000 0.000 0.000
0.000 0.500 0.000
0.500 0.000 0.000
0.000 0.000 0.500
0.500 0.500 0.500
```

***

[6]
BaTcPtF2 | GGA-PBEsol | optimized geometry

Results
- Formation energy from raw total energies: -1.106 eV per atom

Cell and atoms, written as POSCAR:
```
BaTcPtF2
1.0
4.370 0.000 0.000
0.000 4.370 0.000
0.000 0.000 4.827
Pt F Tc Ba
1 2 1 1
direct
0.000 0.000 0.500
0.000 0.500 0.000
0.500 0.000 0.000
0.000 0.000 0.000
0.500 0.500 0.500
```